This record from the Alexandria database describes a relaxed structure of RbLa2Np3N8. The functional is GGA-PBE.

Cell lengths 6.987, 6.987, 7.251 Å; angles 61.20, 61.20, 60.00 degrees
Site moments in Bohr magnetons follow the coordinates.
Positions (direct):
Rb  0.872  0.872  0.384  0.00
La  0.108  0.108  0.677  0.00
La  0.502  0.502  0.495  0.00
Np  0.502  0.996  0.001  1.60
Np  0.996  0.502  0.001  1.60
Np  0.502  0.502  0.001  1.60
N  0.274  0.274  0.177  -0.10
N  0.720  0.720  0.839  -0.12
N  0.253  0.253  0.803  -0.07
N  0.690  0.253  0.803  -0.07
N  0.253  0.690  0.803  -0.07
N  0.741  0.338  0.180  -0.10
N  0.338  0.741  0.180  -0.10
N  0.741  0.741  0.180  -0.10

Results
Calculated density   7.7 g/cm3
Formation energy from raw total energies   -1.0015 eV per atom
SG   R3m
Calculated volume   254.7 Å³/cell